No. 1
Here is a relaxed AcLaInSn crystal from Alexandria via LeMat-Bulk. Energies are from PBE.

a b c (Å): 4.5479 4.8919 12.3280
angles (deg): 90.00 90.00 90.00
Last column: nearest neighbours and their distance in Å.
Space group Amm2 (No. 38)
Inequivalent atoms, fractional coordinates:
Ac1 0.0000 0.0000 0.0000  3 Sn 3.42-3.67, 4 In 3.43
La1 0.5000 0.0000 0.7206  4 Sn 3.41, 3 In 3.50-3.61
In1 0.5000 0.0000 0.4364  2 Sn 3.00
Sn1 0.0000 0.0000 0.2777  2 In 3.00

Computed properties:
Electronic total energy: -0.168 Ha/atom
Offset from the most stable computed form: 0.0 meV/atom
Spin magnetization: 0.89 μB per cell
Formation energy: -0.629 eV per atom
Mass density: 7.3 g/cm³

---

No. 2
Here is a relaxed YOsN2F crystal from Alexandria via LeMat-Bulk. Energies are from PBE.

a b c (Å): 3.8610 3.8610 4.4735
angles (deg): 90.00 90.00 90.00
Last column: nearest neighbours and their distance in Å.
Space group P4/mmm (No. 123)
Inequivalent atoms, fractional coordinates:
Y1 0.0000 0.0000 0.0000  4 F 2.73, 8 N 2.95
Os1 0.5000 0.5000 0.5000  4 N 1.93
N1 0.0000 0.5000 0.5000  2 Os 1.93
F1 0.5000 0.5000 0.0000  2 Os 2.24

Computed properties:
Electronic total energy: -0.286 Ha/atom
Offset from the most stable computed form: 0.0 meV/atom
Spin magnetization: 0.00 μB per cell
Mass density: 8.1 g/cm³
Formation energy from raw total energies: -0.53 eV per atom

---

No. 3
Here is a relaxed MgZn2Pb crystal from Alexandria via LeMat-Bulk. Energies are from PBE.

a b c (Å): 8.8902 3.4182 5.7704
angles (deg): 90.00 101.96 90.00
Last column: nearest neighbours and their distance in Å.
Space group Cm (No. 8)
Inequivalent atoms, fractional coordinates:
Mg1 0.0000 0.0000 0.0000  5 Zn 2.86-2.89, 3 Pb 3.02-3.15
Zn1 0.0222 0.5000 0.6070  3 Zn 2.68-2.72, 2 Mg 2.88
Zn2 0.2538 0.0000 0.7645  3 Zn 2.68-2.72, 3 Mg 2.86-2.89
Pb1 0.2648 0.5000 0.3093  3 Mg 3.02-3.15, 5 Zn 3.02-3.15

Computed properties:
Electronic total energy: -0.070 Ha/atom
Offset from the most stable computed form: 11.7 meV/atom
Spin magnetization: 0.00 μB per cell
Formation energy: 0.053 eV per atom
Mass density: 7.0 g/cm³

---

No. 4
Here is a relaxed Pm2Dy8Ho crystal from Alexandria via LeMat-Bulk. Energies are from PBE.

a b c (Å): 18.1478 5.0311 7.9651
angles (deg): 90.00 105.31 90.00
Last column: nearest neighbours and their distance in Å.
Space group C2/m (No. 12)
Inequivalent atoms, fractional coordinates:
Pm1 0.2270 0.0000 0.1370  10 Dy 3.55-3.59, 2 Pm 3.57
Dy1 0.0447 0.0000 0.2277  9 Dy 3.53-3.57, 2 Ho 3.55, 1 Pm 3.57
Dy2 0.0899 0.5000 0.9534  8 Dy 3.53-3.57, 1 Ho 3.55, 3 Pm 3.57-3.58
Dy3 0.1353 0.0000 0.6788  7 Dy 3.53-3.58, 2 Ho 3.54, 3 Pm 3.58-3.59
Dy4 0.1812 0.5000 0.4083  8 Dy 3.55-3.58, 1 Ho 3.55, 3 Pm 3.55-3.56
Ho1 0.0000 0.5000 0.5000  12 Dy 3.54-3.55

Computed properties:
Electronic total energy: -0.169 Ha/atom
Offset from the most stable computed form: 0.0 meV/atom
Spin magnetization: 0.00 μB per cell
Formation energy: 0.018 eV per atom
Mass density: 8.3 g/cm³

---

No. 5
Here is a relaxed Ce4Ga2C crystal from Alexandria via LeMat-Bulk. Energies are from PBE.

a b c (Å): 4.8947 4.8947 14.9745
angles (deg): 90.00 90.00 90.00
Last column: nearest neighbours and their distance in Å.
Space group I4/mmm (No. 139)
Inequivalent atoms, fractional coordinates:
Ce1 0.0000 0.0000 0.1685  1 C 2.52
Ce2 0.0000 0.5000 0.0000  2 C 2.45
Ga1 0.0000 0.0000 0.3696  5 Ce 3.01-3.13
C1 0.0000 0.0000 0.0000  6 Ce 2.45-2.52

Computed properties:
Electronic total energy: -0.215 Ha/atom
Offset from the most stable computed form: 0.0 meV/atom
Spin magnetization: 5.00 μB per cell
Formation energy: -0.268 eV per atom
Mass density: 6.6 g/cm³

---

No. 6
Here is a relaxed La2Fe2Rh crystal from Alexandria via LeMat-Bulk. Energies are from PBE.

a b c (Å): 3.4617 3.4617 17.4908
angles (deg): 90.00 90.00 90.00
Last column: nearest neighbours and their distance in Å.
Space group I4/mmm (No. 139)
Inequivalent atoms, fractional coordinates:
La1 0.0000 0.0000 0.1047  4 Rh 3.06, 4 Fe 3.07
Fe1 0.0000 0.5000 0.2500  4 Fe 2.45
Rh1 0.0000 0.0000 0.5000  8 La 3.06

Computed properties:
Electronic total energy: -0.252 Ha/atom
Offset from the most stable computed form: 0.0 meV/atom
Spin magnetization: 7.26 μB per cell
Formation energy: -0.037 eV per atom
Mass density: 7.8 g/cm³